# 1
Material: K2NiAg
Method: DFT, PBE
State: relaxed

The structure in POSCAR format:
```
K2NiAg
1.0
-2.3129 2.8529 4.7559
2.3129 -2.8529 4.7559
2.3129 2.8529 -4.7559
K Ni Ag
2 1 1
direct
0.0000 0.0000 0.0000 K
0.6946 0.1946 0.5000 K
0.3872 0.3872 0.0000 Ni
0.2941 0.7941 0.5000 Ag
```

**DFT formation energy**: 405.9 meV per atom
**Symmetry**: No. 44
**Distance to the lowest polymorph of the same formula**: 87 meV/atom

---

# 2
Material: KNiAg3
Method: DFT, PBE
State: relaxed

The structure in POSCAR format:
```
KNiAg3
1.0
5.3686 0.0000 0.0000
0.0000 5.3686 0.0000
0.0000 0.0000 5.3686
K Ni Ag
1 1 3
direct
0.0000 0.0000 0.0000 K
0.5000 0.5000 0.5000 Ni
0.0000 0.0000 0.5000 Ag
0.0000 0.5000 0.0000 Ag
0.5000 0.0000 0.0000 Ag
```

**DFT formation energy**: 1651.1 meV per atom
**Symmetry**: No. 221
**Distance to the lowest polymorph of the same formula**: 1255 meV/atom

---

# 3
Material: K2NiAg
Method: DFT, PBE
State: relaxed

The structure in POSCAR format:
```
K2NiAg
1.0
3.9171 0.0000 0.0000
0.0000 3.9171 0.0000
0.0000 0.0000 8.3497
K Ni Ag
2 1 1
direct
0.0000 0.0000 0.2379 K
0.0000 0.0000 0.7621 K
0.5000 0.5000 0.0000 Ni
0.5000 0.5000 0.5000 Ag
```

**DFT formation energy**: 590.4 meV per atom
**Symmetry**: No. 123
**Distance to the lowest polymorph of the same formula**: 272 meV/atom

---

# 4
Material: K2NiAg
Method: DFT, PBE
State: relaxed

The structure in POSCAR format:
```
K2NiAg
1.0
0.0000 3.9794 3.9794
3.9794 0.0000 3.9794
3.9794 3.9794 0.0000
K Ni Ag
2 1 1
direct
0.2500 0.2500 0.2500 K
0.7500 0.7500 0.7500 K
0.0000 0.0000 0.0000 Ni
0.5000 0.5000 0.5000 Ag
```

**DFT formation energy**: 603.6 meV per atom
**Symmetry**: No. 225
**Distance to the lowest polymorph of the same formula**: 285 meV/atom

---

# 5
Material: KNi2Ag2
Method: DFT, PBE
State: relaxed

The structure in POSCAR format:
```
KNi2Ag2
1.0
-2.2192 2.2192 5.1165
2.2192 -2.2192 5.1165
2.2192 2.2192 -5.1165
K Ni Ag
1 2 2
direct
0.0000 0.0000 0.0000 K
0.3889 0.3889 0.0000 Ni
0.6111 0.6111 0.0000 Ni
0.2500 0.7500 0.5000 Ag
0.7500 0.2500 0.5000 Ag
```

**DFT formation energy**: 486.3 meV per atom
**Symmetry**: No. 139
**Distance to the lowest polymorph of the same formula**: 121 meV/atom

---

# 6
Material: K2NiAg
Method: DFT, PBE
State: relaxed

The structure in POSCAR format:
```
K2NiAg
1.0
4.3134 0.0000 0.0000
0.0000 4.3849 0.0000
-0.0132 0.0000 6.0899
K Ni Ag
2 1 1
direct
0.0019 0.0000 0.2444 K
0.9981 0.0000 0.7556 K
0.5000 0.5000 0.0000 Ni
0.5000 0.5000 0.5000 Ag
```

**DFT formation energy**: 578.4 meV per atom
**Symmetry**: No. 10
**Distance to the lowest polymorph of the same formula**: 260 meV/atom

---

# 7
Material: KNiAgPt2
Method: DFT, PBE
State: relaxed

The structure in POSCAR format:
```
KNiAgPt2
1.0
4.7066 0.0000 0.0000
0.0000 4.7066 0.0000
0.0000 0.0000 4.9913
K Ni Ag Pt
1 1 1 2
direct
0.0000 0.0000 0.0000 K
0.5000 0.5000 0.5000 Ni
0.5000 0.5000 0.0000 Ag
0.0000 0.5000 0.5000 Pt
0.5000 0.0000 0.5000 Pt
```

**DFT formation energy**: 474.2 meV per atom
**Symmetry**: No. 123

---

# 8
Material: KNiAg2S
Method: DFT, PBE
State: relaxed

The structure in POSCAR format:
```
KNiAg2S
1.0
5.3714 0.0000 0.0000
0.0000 5.3714 0.0000
0.0000 0.0000 5.3953
K Ni Ag S
1 1 2 1
direct
0.0000 0.0000 0.0000 K
0.5000 0.5000 0.5000 Ni
0.0000 0.5000 0.0000 Ag
0.5000 0.0000 0.0000 Ag
0.0000 0.0000 0.5000 S
```

**Raw formation energy**: 7.656 eV per formula unit
**Symmetry**: No. 123

---

Total energy for the records above, in order: -2.3010, -1.4354, -2.1165, -2.1033, -3.1862, -2.1285, -3.8882, -1.8106 eV/atom